Entry from Alexandria: a geometry-optimized Ta2CdSe structure (PBE-GGA).

Unit cell a=6.7597 b=6.7597 c=6.7597 alpha=90.00 beta=90.00 gamma=90.00
Space group F-43m (No. 216)
Asymmetric unit:
Ta1 0.0000 0.0000 0.0000 x4
Ta2 0.2500 0.2500 0.2500 x4
Cd1 0.0000 0.0000 0.5000 x4
Se1 0.2500 0.2500 0.7500 x4

Summary:
energy above the lowest structure with this stoichiometry = 658.4 meV per atom
volume = 19.3 Å³/atom
total DFT energy (no corrections) = -6.357 eV per atom
energy relative to the elements, uncorrected = 670 meV per atom